1.
# PBE Th4ZrTl5, relaxed
# D(E_F): 14.03 states/eV/cell
# energy: -51.18 eV for the cell shown
data_Th4ZrTl5
_chemical_formula_sum 'Th4 Zr1 Tl5'
_space_group_name_H-M_alt 'P 4/m m m'
_space_group_IT_number 123
_space_group_name_Hall '-P 4 2'
_cell_length_a 3.504
_cell_length_b 3.504
_cell_length_c 22.694
_cell_angle_alpha 90.00
_cell_angle_beta 90.00
_cell_angle_gamma 90.00
loop_
_atom_site_label
_atom_site_fract_x
_atom_site_fract_y
_atom_site_fract_z
Th1 0.000 0.000 0.104
Th2 0.000 0.000 0.310
Zr1 0.000 0.000 0.500
Tl1 0.500 0.500 0.000
Tl2 0.500 0.500 0.207
Tl3 0.500 0.500 0.413

---

2.
# PBE Sr4HfO6, relaxed
# D(E_F): 0.00 states/eV/cell
# energy: -474.49 eV for the cell shown
# E_form (uncorrected): -2.968 eV/atom
data_Sr4HfO6
_chemical_formula_sum 'Sr24 Hf6 O36'
_space_group_name_H-M_alt 'R -3 c'
_space_group_IT_number 167
_space_group_name_Hall '-R 3 2"c'
_cell_length_a 10.0175
_cell_length_b 10.0175
_cell_length_c 12.1976
_cell_angle_alpha 90.00
_cell_angle_beta 90.00
_cell_angle_gamma 120.00
loop_
_atom_site_label
_atom_site_fract_x
_atom_site_fract_y
_atom_site_fract_z
Sr1 0.0000 0.0000 0.2500
Sr2 0.0000 0.3560 0.2500
Hf1 0.0000 0.0000 0.0000
O1 0.0278 0.1834 0.3986

---

3.
# PBE ZnGaNi2H, relaxed
# D(E_F): 2.66 states/eV/cell
# energy: -19.82 eV for the cell shown
data_ZnGaNi2H
_chemical_formula_sum 'Zn1 Ga1 Ni2 H1'
_space_group_name_H-M_alt 'P 4/m m m'
_space_group_IT_number 123
_space_group_name_Hall '-P 4 2'
_cell_length_a 3.726
_cell_length_b 3.726
_cell_length_c 3.739
_cell_angle_alpha 90.00
_cell_angle_beta 90.00
_cell_angle_gamma 90.00
loop_
_atom_site_label
_atom_site_fract_x
_atom_site_fract_y
_atom_site_fract_z
Zn1 0.000 0.000 0.000
Ga1 0.500 0.500 0.000
Ni1 0.000 0.500 0.500
H1 0.000 0.000 0.500

---

4.
# PBE LaPm5Au4, relaxed
# D(E_F): 8.48 states/eV/cell
# energy: -48.06 eV for the cell shown
data_LaPm5Au4
_chemical_formula_sum 'La1 Pm5 Au4'
_space_group_name_H-M_alt 'P 4/m m m'
_space_group_IT_number 123
_space_group_name_Hall '-P 4 2'
_cell_length_a 3.677
_cell_length_b 3.677
_cell_length_c 20.157
_cell_angle_alpha 90.00
_cell_angle_beta 90.00
_cell_angle_gamma 90.00
loop_
_atom_site_label
_atom_site_fract_x
_atom_site_fract_y
_atom_site_fract_z
La1 0.000 0.000 0.000
Pm1 0.500 0.500 0.132
Pm2 0.500 0.500 0.315
Pm3 0.500 0.500 0.500
Au1 0.000 0.000 0.222
Au2 0.000 0.000 0.407

---

5.
# PBE PmYSbSe, relaxed
# D(E_F): 1.42 states/eV/cell
# energy: -24.67 eV for the cell shown
# E_form (uncorrected): -1.462 eV/atom
data_PmYSbSe
_chemical_formula_sum 'Pm1 Y1 Sb1 Se1'
_space_group_name_H-M_alt 'P 4/m m m'
_space_group_IT_number 123
_space_group_name_Hall '-P 4 2'
_cell_length_a 4.327
_cell_length_b 4.327
_cell_length_c 6.056
_cell_angle_alpha 90.00
_cell_angle_beta 90.00
_cell_angle_gamma 90.00
loop_
_atom_site_label
_atom_site_fract_x
_atom_site_fract_y
_atom_site_fract_z
Pm1 0.000 0.000 0.000
Y1 0.500 0.500 0.500
Sb1 0.500 0.500 0.000
Se1 0.000 0.000 0.500

---

6.
# PBE KCuSbCl5, relaxed
# energy: -107.39 eV for the cell shown
# E_form (uncorrected): -1.037 eV/atom
data_KCuSbCl5
_chemical_formula_sum 'K4 Cu4 Sb4 Cl20'
_space_group_name_H-M_alt 'C 1 2/c 1'
_space_group_IT_number 15
_cell_length_a 8.742
_cell_length_b 11.833
_cell_length_c 10.026
_cell_angle_alpha 90.00
_cell_angle_beta 113.24
_cell_angle_gamma 90.00
loop_
_space_group_symop_operation_xyz
'x,y,z'
'-x,-y,-z'
'-x,y,-z+1/2'
'x,-y,z+1/2'
'x+1/2,y+1/2,z'
'-x+1/2,-y+1/2,-z'
'-x+1/2,y+1/2,-z+1/2'
'x+1/2,-y+1/2,z+1/2'
loop_
_atom_site_label
_atom_site_fract_x
_atom_site_fract_y
_atom_site_fract_z
K1 0.000 0.150 0.250
Cu1 0.000 0.191 0.750
Sb1 0.000 0.500 0.000
Cl1 0.000 0.419 0.250
Cl2 0.108 0.294 0.611
Cl3 0.184 0.068 0.923

---

7.
# PBE NbTe4, relaxed
# D(E_F): 6.55 states/eV/cell
# energy: -45.78 eV for the cell shown
# ΔE to the lowest computed polymorph: 287 meV per atom
# E_form (uncorrected): -0.051 eV/atom
data_NbTe4
_chemical_formula_sum 'Nb2 Te8'
_space_group_name_H-M_alt 'I 4/m'
_space_group_IT_number 87
_space_group_name_Hall '-I 4'
_cell_length_a 9.401
_cell_length_b 9.401
_cell_length_c 3.458
_cell_angle_alpha 90.00
_cell_angle_beta 90.00
_cell_angle_gamma 90.00
loop_
_atom_site_label
_atom_site_fract_x
_atom_site_fract_y
_atom_site_fract_z
Nb1 0.000 0.000 0.000
Te1 0.096 0.772 0.500

---

8.
# PBE YBeI2O, relaxed
# D(E_F): 1.26 states/eV/cell
# energy: -22.85 eV for the cell shown
# ΔE to the lowest computed polymorph: 0 meV per atom
# E_form (uncorrected): -0.920 eV/atom
data_YBeI2O
_chemical_formula_sum 'Y1 Be1 I2 O1'
_space_group_name_H-M_alt 'P 4/m m m'
_space_group_IT_number 123
_space_group_name_Hall '-P 4 2'
_cell_length_a 5.741
_cell_length_b 5.741
_cell_length_c 3.338
_cell_angle_alpha 90.00
_cell_angle_beta 90.00
_cell_angle_gamma 90.00
loop_
_atom_site_label
_atom_site_fract_x
_atom_site_fract_y
_atom_site_fract_z
Y1 0.000 0.000 0.000
Be1 0.500 0.500 0.500
I1 0.000 0.500 0.500
O1 0.500 0.500 0.000